Computed, not measured: a geometry-optimized Fe2Ni9W structure at the PBE-GGA level of DFT.

Cell lengths 3.5813, 3.5813, 10.7199 Å; angles 90.00, 90.00, 90.00 degrees
Fractional positions:
1 Fe 0.0000 0.0000 0.1603
2 Fe 0.0000 0.0000 0.8397
3 Ni 0.0000 0.5000 0.0000
4 Ni 0.0000 0.5000 0.3313
5 Ni 0.0000 0.5000 0.6687
6 Ni 0.5000 0.0000 0.0000
7 Ni 0.5000 0.0000 0.3313
8 Ni 0.5000 0.0000 0.6687
9 Ni 0.5000 0.5000 0.1652
10 Ni 0.5000 0.5000 0.5000
11 Ni 0.5000 0.5000 0.8348
12 W 0.0000 0.0000 0.5000

Properties
D(E_F): 5.8 states/eV/cell
energy: -82.7 eV/f.u.
ΔH_f (0 K): -0.8 eV per formula unit
magnetic moment: 0.801 μB/atom
symmetry: P4/mmm, No. 123